No. 1
The following is a DFT calculation (PBE-GGA) of crystalline Tl2CuS6 at its relaxed geometry.

The calculation puts the total moment at 0.000 μB/f.u. For the formation energy from raw total energies, the calculation gives -0.109 eV per atom. As for the final energy: -3.84 eV/atom.

The structure belongs to space group C2/c (No. 15); the cell edges are 13.602, 11.629 and 8.023 Å and the angles 90.00°, 111.62° and 90.00°. The asymmetric unit holds Tl at (0.205, 0.076, 0.404), Cu at (0.000, 0.167, 0.750), S at (0.050, 0.070, 0.013), S at (0.148, 0.278, 0.804) and S at (0.230, 0.324, 0.165).

No. 2
The following is a DFT calculation (PBE-GGA) of crystalline Tl2CuS2 at its relaxed geometry.

The calculation puts the total moment at 0.000 μB/f.u. For the formation energy from raw total energies, the calculation gives 0.001 eV per atom. As for the final energy: -3.42 eV/atom.

The structure belongs to space group P4/mbm (No. 127); the cell edges are 6.132, 6.132 and 6.145 Å and the angles 90.00°, 90.00° and 90.00°. The asymmetric unit holds Tl at (0.201, 0.299, 0.000), Cu at (0.000, 0.000, 0.500) and S at (0.126, 0.626, 0.500).

No. 3
The following is a DFT calculation (PBE-GGA) of crystalline TlCuS2 at its relaxed geometry.

The calculation puts the total moment at 0.000 μB/f.u. For the formation energy from raw total energies, the calculation gives -0.192 eV per atom. As for the final energy: -3.87 eV/atom.

The structure belongs to space group Pmn2_1 (No. 31); the cell edges are 3.997, 8.236 and 5.610 Å and the angles 90.00°, 90.00° and 90.00°. The asymmetric unit holds Tl at (0.000, 0.150, 0.000), Cu at (0.000, 0.603, 0.977), S at (0.000, 0.405, 0.263) and S at (0.000, 0.848, 0.184).

No. 4
The following is a DFT calculation (PBE-GGA) of crystalline Tl3Cu2S3 at its relaxed geometry.

The calculation puts the total moment at 0.000 μB/f.u. For the formation energy from raw total energies, the calculation gives -0.231 eV per atom. As for the final energy: -3.69 eV/atom.

The structure belongs to space group Cmcm (No. 63); the cell edges are 3.954, 13.599 and 14.024 Å and the angles 90.00°, 90.00° and 90.00°. The asymmetric unit holds Tl at (0.000, 0.084, 0.122), Tl at (0.000, 0.388, 0.250), Cu at (0.000, 0.226, 0.582), S at (0.000, 0.271, 0.750) and S at (0.000, 0.352, 0.036).

No. 5
The following is a DFT calculation (PBE-GGA) of crystalline Tl2Cu2S3 at its relaxed geometry.

The calculation puts the total moment at 0.000 μB/f.u. For the formation energy from raw total energies, the calculation gives -0.210 eV per atom. As for the final energy: -3.83 eV/atom.

The structure belongs to space group C2/m (No. 12); the cell edges are 12.415, 3.838 and 7.620 Å and the angles 90.00°, 119.09° and 90.00°. The asymmetric unit holds Tl at (0.068, 0.000, 0.334), Cu at (0.205, 0.500, 0.078), S at (0.000, 0.500, 0.000) and S at (0.197, 0.500, 0.762).

No. 6
The following is a DFT calculation (PBE-GGA) of crystalline Tl2CuS at its relaxed geometry.

The calculation puts the total moment at 0.000 μB/f.u. For the formation energy from raw total energies, the calculation gives 0.268 eV per atom. As for the final energy: -2.97 eV/atom.

The structure belongs to space group Fm-3m (No. 225); the cell edges are 7.250, 7.250 and 7.250 Å and the angles 90.00°, 90.00° and 90.00°. The asymmetric unit holds Tl at (0.250, 0.250, 0.250), Cu at (0.000, 0.000, 0.000) and S at (0.000, 0.000, 0.500).

No. 7
The following is a DFT calculation (PBE-GGA) of crystalline Tl5Cu4S4 at its relaxed geometry.

The calculation puts the total moment at 0.000 μB/f.u. For the formation energy from raw total energies, the calculation gives -0.220 eV per atom. As for the final energy: -3.66 eV/atom.

The structure belongs to space group I4/m (No. 87); the cell edges are 12.232, 12.232 and 3.890 Å and the angles 90.00°, 90.00° and 90.00°. The asymmetric unit holds Tl at (0.000, 0.000, 0.000), Tl at (0.132, 0.790, 0.500), Cu at (0.067, 0.407, 0.500) and S at (0.042, 0.301, 0.000).

No. 8
The following is a DFT calculation (PBE-GGA) of crystalline Tl2CuS8 at its relaxed geometry.

The calculation puts the total moment at 0.000 μB/f.u. For the formation energy from raw total energies, the calculation gives -0.028 eV per atom. As for the final energy: -3.83 eV/atom.

The structure belongs to space group P-1 (No. 2); the cell edges are 6.235, 6.931 and 7.781 Å and the angles 102.94°, 93.93° and 99.52°. The asymmetric unit holds Tl at (0.027, 0.395, 0.241), Cu at (0.500, 0.500, 0.000), S at (0.080, 0.811, 0.142), S at (0.212, 0.102, 0.806), S at (0.328, 0.226, 0.605) and S at (0.444, 0.528, 0.731).

No. 9
The following is a DFT calculation (PBE-GGA) of crystalline TlCuS5 at its relaxed geometry.

The calculation puts the total moment at 0.000 μB/f.u. For the formation energy from raw total energies, the calculation gives -0.010 eV per atom. As for the final energy: -3.88 eV/atom.

The structure belongs to space group P-1 (No. 2); the cell edges are 6.594, 6.861 and 9.366 Å and the angles 99.48°, 108.44° and 95.50°. The asymmetric unit holds Tl at (0.108, 0.261, 0.028), Cu at (0.500, 0.000, 0.000), Cu at (0.500, 0.500, 0.000), S at (0.013, 0.065, 0.287), S at (0.108, 0.523, 0.364), S at (0.195, 0.505, 0.669), S at (0.283, 0.892, 0.739) and S at (0.367, 0.750, 0.089).

No. 10
The following is a DFT calculation (PBE-GGA) of crystalline Tl3CuS4 at its relaxed geometry.

The calculation puts the total moment at 0.000 μB/f.u. For the formation energy from raw total energies, the calculation gives -0.126 eV per atom. As for the final energy: -3.59 eV/atom.

The structure belongs to space group P-43m (No. 215); the cell edges are 6.070, 6.070 and 6.070 Å and the angles 90.00°, 90.00° and 90.00°. The asymmetric unit holds Tl at (0.000, 0.000, 0.500), Cu at (0.500, 0.500, 0.500) and S at (0.279, 0.279, 0.721).

No. 11
The following is a DFT calculation (PBE-GGA) of crystalline TlCu4S2 at its relaxed geometry.

The calculation puts the total moment at 0.000 μB/f.u. For the formation energy from raw total energies, the calculation gives -0.054 eV per atom. As for the final energy: -3.91 eV/atom.

The structure belongs to space group R-3m (No. 166, hexagonal axes); the cell edges are 4.0100, 4.0100 and 26.5584 Å and the angles 90.00°, 90.00° and 120.00°. The asymmetric unit holds Tl at (0.0000, 0.0000, 0.0000), Cu at (0.0000, 0.0000, 0.1670), Cu at (0.0000, 0.0000, 0.4486) and S at (0.0000, 0.0000, 0.2515).

No. 12
The following is a DFT calculation (PBE-GGA) of crystalline TlCu2S2 at its relaxed geometry.

The calculation puts the total moment at 0.000 μB/f.u. For the formation energy from raw total energies, the calculation gives -0.170 eV per atom. As for the final energy: -3.93 eV/atom.

The structure belongs to space group P4/mmm (No. 123); the cell edges are 3.674, 3.674 and 7.244 Å and the angles 90.00°, 90.00° and 90.00°. The asymmetric unit holds Tl at (0.000, 0.000, 0.000), Cu at (0.000, 0.500, 0.500) and S at (0.500, 0.500, 0.289).

No. 13
The following is a DFT calculation (PBE-GGA) of crystalline Tl2Cu2S at its relaxed geometry.

The calculation puts the total moment at 0.000 μB/f.u. For the formation energy from raw total energies, the calculation gives 0.121 eV per atom. As for the final energy: -3.29 eV/atom.

The structure belongs to space group P4/mbm (No. 127); the cell edges are 6.512, 6.512 and 4.791 Å and the angles 90.00°, 90.00° and 90.00°. The asymmetric unit holds Tl at (0.174, 0.326, 0.000), Cu at (0.139, 0.639, 0.500) and S at (0.000, 0.000, 0.500).

No. 14
The following is a DFT calculation (PBE-GGA) of crystalline Tl5CuS3 at its relaxed geometry.

The calculation puts the total moment at 0.000 μB/f.u. For the formation energy from raw total energies, the calculation gives -0.177 eV per atom. As for the final energy: -3.32 eV/atom.

The structure belongs to space group C2/m (No. 12); the cell edges are 13.190, 8.914 and 10.591 Å and the angles 90.00°, 103.86° and 90.00°. The asymmetric unit holds Tl at (0.000, 0.185, 0.000), Tl at (0.076, 0.000, 0.330), Tl at (0.123, 0.283, 0.709), Tl at (0.223, 0.500, 0.087), Cu at (0.151, 0.500, 0.459), S at (0.000, 0.500, 0.000), S at (0.000, 0.500, 0.500), S at (0.199, 0.000, 0.580) and S at (0.217, 0.000, 0.164).

No. 15
The following is a DFT calculation (PBE-GGA) of crystalline TlCuS6 at its relaxed geometry.

The calculation puts the total moment at 0.000 μB/f.u. For the formation energy from raw total energies, the calculation gives 0.013 eV per atom. As for the final energy: -3.89 eV/atom.

The structure belongs to space group P-1 (No. 2); the cell edges are 4.827, 6.941 and 7.259 Å and the angles 70.85°, 75.92° and 77.45°. The asymmetric unit holds Tl at (0.000, 0.000, 0.000), Cu at (0.500, 0.500, 0.000), S at (0.030, 0.718, 0.634), S at (0.233, 0.457, 0.797) and S at (0.376, 0.196, 0.203).

No. 16
The following is a DFT calculation (PBE-GGA) of crystalline Tl2CuS2 at its relaxed geometry.

The calculation puts the total moment at 0.000 μB/f.u. For the formation energy from raw total energies, the calculation gives -0.198 eV per atom. As for the final energy: -3.61 eV/atom.

The structure belongs to space group Immm (No. 71); the cell edges are 3.510, 6.498 and 11.325 Å and the angles 90.00°, 90.00° and 90.00°. The asymmetric unit holds Tl at (0.000, 0.000, 0.155), Cu at (0.000, 0.000, 0.500) and S at (0.000, 0.500, 0.133).

No. 17
The following is a DFT calculation (PBE-GGA) of crystalline TlCu2S2 at its relaxed geometry.

The calculation puts the total moment at 0.000 μB/f.u. For the formation energy from raw total energies, the calculation gives -0.258 eV per atom. As for the final energy: -4.02 eV/atom.

The structure belongs to space group I4/mmm (No. 139); the cell edges are 3.782, 3.782 and 13.751 Å and the angles 90.00°, 90.00° and 90.00°. The asymmetric unit holds Tl at (0.000, 0.000, 0.000), Cu at (0.000, 0.500, 0.250) and S at (0.000, 0.000, 0.352).

No. 18
The following is a DFT calculation (PBE-GGA) of crystalline TlCu3S at its relaxed geometry.

The calculation puts the total moment at 0.000 μB/f.u. For the formation energy from raw total energies, the calculation gives 1.182 eV per atom. As for the final energy: -2.57 eV/atom.

The structure belongs to space group Pm-3m (No. 221); the cell edges are 4.887, 4.887 and 4.887 Å and the angles 90.00°, 90.00° and 90.00°. The asymmetric unit holds Tl at (0.000, 0.000, 0.000), Cu at (0.000, 0.000, 0.500) and S at (0.500, 0.500, 0.500).

No. 19
The following is a DFT calculation (PBE-GGA) of crystalline TlCuS2 at its relaxed geometry.

The calculation puts the total moment at 0.000 μB/f.u. For the formation energy from raw total energies, the calculation gives -0.055 eV per atom. As for the final energy: -3.73 eV/atom.

The structure belongs to space group R-3m (No. 166, hexagonal axes); the cell edges are 4.1034, 4.1034 and 21.2384 Å and the angles 90.00°, 90.00° and 120.00°. The asymmetric unit holds Tl at (0.0000, 0.0000, 0.0000), Cu at (0.0000, 0.0000, 0.5000) and S at (0.0000, 0.0000, 0.4001).

No. 20
The following is a DFT calculation (PBE-GGA) of crystalline TlCuS2 at its relaxed geometry.

The calculation puts the total moment at 0.000 μB/f.u. For the formation energy from raw total energies, the calculation gives -0.227 eV per atom. As for the final energy: -3.91 eV/atom.

The structure belongs to space group I-42d (No. 122); the cell edges are 5.685, 5.685 and 11.389 Å and the angles 90.00°, 90.00° and 90.00°. The asymmetric unit holds Tl at (0.000, 0.000, 0.000), Cu at (0.000, 0.000, 0.500) and S at (0.202, 0.250, 0.625).